# 1
# Ta2IrPbS | the Alexandria database | PBE | relaxed
# - Energy above the lowest structure with this stoichiometry: 0.000 eV/atom
# - Magnetization: 0.0 μB/cell
# - Final energy: -7.113 eV/atom
# - N(E_F): 5.36 states/eV per cell
# - Formation energy without anion corrections: 967 meV per atom
data_Ta2IrPbS
_chemical_formula_sum 'Ta2 Ir1 Pb1 S1'
_space_group_name_H-M_alt 'P 1'
_space_group_IT_number 1
_space_group_name_Hall 'P 1'
_cell_length_a 5.0898
_cell_length_b 4.3755
_cell_length_c 5.0898
_cell_angle_alpha 90.00
_cell_angle_beta 90.00
_cell_angle_gamma 90.00
loop_
_atom_site_label
_atom_site_fract_x
_atom_site_fract_y
_atom_site_fract_z
Pb1 0.5000 0.5000 0.5000
S1 0.0000 0.5000 0.0000
Ir1 0.0000 0.0000 0.0000
Ta1 0.0000 0.0000 0.5000
Ta2 0.5000 0.0000 0.0000

# 2
# YIr2PbS | the Alexandria database | PBE | relaxed
# - Magnetization: 0.0 μB/cell
# - Final energy: -6.416 eV/atom
# - N(E_F): 4.86 states/eV per cell
# - Formation energy without anion corrections: -12 meV per atom
data_YIr2PbS
_chemical_formula_sum 'Y1 Ir2 Pb1 S1'
_space_group_name_H-M_alt 'P 1'
_space_group_IT_number 1
_space_group_name_Hall 'P 1'
_cell_length_a 4.5361
_cell_length_b 5.0772
_cell_length_c 4.5361
_cell_angle_alpha 90.00
_cell_angle_beta 90.00
_cell_angle_gamma 90.00
loop_
_atom_site_label
_atom_site_fract_x
_atom_site_fract_y
_atom_site_fract_z
Pb1 0.5000 0.5000 0.5000
Y1 0.0000 0.5000 0.0000
S1 0.0000 0.0000 0.0000
Ir1 0.0000 0.0000 0.5000
Ir2 0.5000 0.0000 0.0000

# 3
# YIrPb2S | the Alexandria database | PBE | relaxed
# - Magnetization: 0.0 μB/cell
# - Final energy: -4.286 eV/atom
# - N(E_F): 7.39 states/eV per cell
# - Formation energy without anion corrections: 1088 meV per atom
data_YIrPb2S
_chemical_formula_sum 'Y1 Ir1 Pb2 S1'
_space_group_name_H-M_alt 'P 1'
_space_group_IT_number 1
_space_group_name_Hall 'P 1'
_cell_length_a 6.0045
_cell_length_b 4.8782
_cell_length_c 6.0045
_cell_angle_alpha 90.00
_cell_angle_beta 90.00
_cell_angle_gamma 90.00
loop_
_atom_site_label
_atom_site_fract_x
_atom_site_fract_y
_atom_site_fract_z
Pb1 0.0000 0.0000 0.5000
Pb2 0.5000 0.0000 0.0000
Y1 0.0000 0.0000 0.0000
S1 0.5000 0.5000 0.5000
Ir1 0.0000 0.5000 0.0000

# 4
# SbIr2Pb | the Alexandria database | PBE | relaxed
# - Energy above the lowest structure with this stoichiometry: 0.078 eV/atom
# - Magnetization: 0.0 μB/cell
# - Final energy: -6.098 eV/atom
# - N(E_F): 2.35 states/eV per cell
# - Formation energy without anion corrections: 290 meV per atom
data_SbIr2Pb
_chemical_formula_sum 'Sb1 Ir2 Pb1'
_space_group_name_H-M_alt 'P 1'
_space_group_IT_number 1
_space_group_name_Hall 'P 1'
_cell_length_a 3.2673
_cell_length_b 4.1489
_cell_length_c 5.7905
_cell_angle_alpha 90.00
_cell_angle_beta 90.00
_cell_angle_gamma 90.00
loop_
_atom_site_label
_atom_site_fract_x
_atom_site_fract_y
_atom_site_fract_z
Ir1 0.0000 0.0000 0.9564
Ir2 0.5000 0.5000 0.2749
Pb1 0.0000 0.0000 0.4484
Sb1 0.5000 0.5000 0.8203

# 5
# SbIr2Pb | the Alexandria database | PBE | relaxed
# - Energy above the lowest structure with this stoichiometry: 0.029 eV/atom
# - Magnetization: 0.0 μB/cell
# - Final energy: -6.147 eV/atom
# - N(E_F): 1.91 states/eV per cell
# - Formation energy without anion corrections: 241 meV per atom
data_SbIr2Pb
_chemical_formula_sum 'Sb1 Ir2 Pb1'
_space_group_name_H-M_alt 'P 1'
_space_group_IT_number 1
_space_group_name_Hall 'P 1'
_cell_length_a 3.1289
_cell_length_b 3.1289
_cell_length_c 8.8262
_cell_angle_alpha 90.00
_cell_angle_beta 90.00
_cell_angle_gamma 90.00
loop_
_atom_site_label
_atom_site_fract_x
_atom_site_fract_y
_atom_site_fract_z
Ir1 0.0000 0.0000 0.0152
Ir2 0.5000 0.5000 0.2175
Pb1 0.0000 0.0000 0.4356
Sb1 0.5000 0.5000 0.8317

# 6
# SbIr2Pb | the Alexandria database | PBE | relaxed
# - Energy above the lowest structure with this stoichiometry: 0.252 eV/atom
# - Magnetization: 0.0 μB/cell
# - Final energy: -5.924 eV/atom
# - N(E_F): 4.64 states/eV per cell
# - Formation energy without anion corrections: 464 meV per atom
data_SbIr2Pb
_chemical_formula_sum 'Sb1 Ir2 Pb1'
_space_group_name_H-M_alt 'P 1'
_space_group_IT_number 1
_space_group_name_Hall 'P 1'
_cell_length_a 4.7521
_cell_length_b 4.7521
_cell_length_c 4.7521
_cell_angle_alpha 60.00
_cell_angle_beta 60.00
_cell_angle_gamma 60.00
loop_
_atom_site_label
_atom_site_fract_x
_atom_site_fract_y
_atom_site_fract_z
Pb1 0.5000 0.5000 0.5000
Sb1 0.0000 0.0000 0.0000
Ir1 0.2500 0.2500 0.2500
Ir2 0.7500 0.7500 0.7500

- What is the formation energy without anion corrections in the fifth record?
  241 meV per atom

- Number 5 is which compound?
  SbIr2Pb